BeGaCoNi | PBE | relaxed

## Properties
Raw total energy = -5.1954 eV per atom
Energy relative to the lowest polymorph listed for this composition = 0.0 meV per atom
Crystal system = cubic

a = 5.5242 Å, b = 5.5242 Å, c = 5.5242 Å
α = 90.00°, β = 90.00°, γ = 90.00°
Space group F-43m (No. 216)
Asymmetric unit:
Be1 0.0000 0.0000 0.0000
Ga1 0.0000 0.0000 0.5000
Co1 0.2500 0.2500 0.7500
Ni1 0.2500 0.2500 0.2500